Record 1
Computed, not measured: Ce4InAu2 after structural relaxation at the PBE level of DFT.

The structure in POSCAR format:
```
Ce4InAu2
1.0
2.591 1.496 8.017
-2.591 1.496 8.017
0.000 -2.992 8.017
Ce In Au
4 1 2
Cartesian
0.000 0.000 2.435 Ce
0.000 0.000 8.702 Ce
0.000 0.000 15.349 Ce
0.000 0.000 21.617 Ce
0.000 0.000 12.026 In
0.000 0.000 5.579 Au
0.000 0.000 18.472 Au
```

Output
- M_tot (Bohr magnetons per cell) = 5.31
- E_tot (eV per cell) = -35.483
- formation enthalpy at 0 K (eV/atom) = -0.3506

Record 2
Computed, not measured: SiTcHg2Ir after structural relaxation at the PBE level of DFT.

The structure in POSCAR format:
```
SiTcHg2Ir
1.0
5.221 0.000 0.000
0.000 5.221 0.000
0.000 0.000 4.647
Si Tc Hg Ir
1 1 2 1
Cartesian
0.000 0.000 0.000 Si
2.610 2.610 2.324 Tc
0.000 2.610 2.324 Hg
2.610 0.000 2.324 Hg
2.610 2.610 0.000 Ir
```

Output
- M_tot (Bohr magnetons per cell) = 0.75
- E_form (uncorrected) (eV per atom) = 1.40
- E_tot (eV per cell) = -18.235